Entry from the Alexandria database: a geometry-optimized Cu6SbS8 structure (PBE).

Values from the calculation:
Space group = R-3, No. 148
Calculated density = 4.7 Mg/m³
Uncorrected energy = -4.09 eV per atom
V = 269.9 Å³/cell

a = 6.4642 Å, b = 6.4642 Å, c = 6.4642 Å
α = 91.42°, β = 91.42°, γ = 91.42°
Closest atoms and distances in Å follow each position.
Sites, in units of the cell vectors:
S (0.8296, 0.2675, 0.6439)  4 Cu 2.30-2.49
S (0.7325, 0.3561, 0.1704)  4 Cu 2.30-2.49
S (0.7465, 0.7465, 0.7465)  3 Cu 2.32
S (0.6439, 0.8296, 0.2675)  4 Cu 2.30-2.49
Cu (0.8342, 0.5876, 0.4369)  5 S 2.30-2.49
Cu (0.1658, 0.4124, 0.5631)  5 S 2.30-2.49
Cu (0.4124, 0.5631, 0.1658)  5 S 2.30-2.49
S (0.2535, 0.2535, 0.2535)  3 Cu 2.32
S (0.3561, 0.1704, 0.7325)  4 Cu 2.30-2.49
Cu (0.5631, 0.1658, 0.4124)  5 S 2.30-2.49
S (0.2675, 0.6439, 0.8296)  4 Cu 2.30-2.49
S (0.1704, 0.7325, 0.3561)  4 Cu 2.30-2.49
Cu (0.4369, 0.8342, 0.5876)  5 S 2.30-2.49
Cu (0.5876, 0.4369, 0.8342)  5 S 2.30-2.49
Sb (0.0000, 0.0000, 0.0000)  2 S 2.77

Entry from the Alexandria database: a geometry-optimized LaMo2H8 structure (PBE).

Values from the calculation:
Space group = Amm2, No. 38
Calculated density = 5.9 Mg/m³
Uncorrected energy = -5.02 eV per atom
V = 95.0 Å³/cell

a = 4.7411 Å, b = 4.8417 Å, c = 4.8417 Å
α = 121.29°, β = 90.00°, γ = 90.00°
Closest atoms and distances in Å follow each position.
Sites, in units of the cell vectors:
Mo (0.5910, 0.7301, 0.3677)  8 H 1.83-1.92
H (0.3483, 0.5697, 0.5697)  2 Mo 1.92
H (0.5909, 0.0521, 0.2750)  2 Mo 1.83-1.92, 1 H 1.88
H (0.5909, 0.2750, 0.0521)  2 Mo 1.83-1.92, 1 H 1.88
H (0.8726, 0.6038, 0.0555)  2 Mo 1.87-1.92, 2 H 2.07
La (0.0910, 0.0832, 0.0832)  12 H 2.48-2.73
H (0.8336, 0.5695, 0.5695)  2 Mo 1.92
H (0.3093, 0.6039, 0.0556)  2 Mo 1.87-1.92, 2 H 2.07
H (0.8726, 0.0555, 0.6038)  2 Mo 1.87-1.92, 2 H 2.07
H (0.3093, 0.0556, 0.6039)  2 Mo 1.87-1.92, 2 H 2.07
Mo (0.5910, 0.3677, 0.7301)  8 H 1.83-1.92

Entry from the Alexandria database: a geometry-optimized LiZr structure (PBE).

Values from the calculation:
Energy relative to the elements = 0.6613 eV per atom
Space group = P4_2/mnm, No. 136
Calculated density = 4.1 Mg/m³
V = 157.5 Å³/cell
Offset from the most stable computed form = 0.5775 eV per atom

a = 5.3477 Å, b = 5.3477 Å, c = 5.5082 Å
α = 90.00°, β = 90.00°, γ = 90.00°
Closest atoms and distances in Å follow each position.
Sites, in units of the cell vectors:
Zr (0.1819, 0.1819, 0.0000)  6 Li 2.72-2.86, 1 Zr 2.75
Zr (0.8181, 0.8181, 0.0000)  6 Li 2.72-2.86, 1 Zr 2.75
Zr (0.3181, 0.6819, 0.5000)  6 Li 2.72-2.86, 1 Zr 2.75
Li (0.3308, 0.6692, 0.0000)  1 Li 2.56, 6 Zr 2.72-2.86
Li (0.1692, 0.1692, 0.5000)  1 Li 2.56, 6 Zr 2.72-2.86
Li (0.6692, 0.3308, 0.0000)  1 Li 2.56, 6 Zr 2.72-2.86
Li (0.8308, 0.8308, 0.5000)  1 Li 2.56, 6 Zr 2.72-2.86
Zr (0.6819, 0.3181, 0.5000)  6 Li 2.72-2.86, 1 Zr 2.75